[1]
Entry from Alexandria: KRb3Pb after structural relaxation (PBE).

Values from the calculation:
E above lowest polymorph	0	kJ/mol of formula units
DOS(E_F)	15.6	states/eV/cell
symmetry	No. 15
formation enthalpy at 0 K	-2.1	kJ/mol of atoms

a = 11.3421 Å, b = 11.3421 Å, c = 11.1065 Å
α = 105.59°, β = 105.59°, γ = 77.71°
Sites, in units of the cell vectors:
K1 0.0715 0.9285 0.7500
K2 0.4222 0.5778 0.2500
K3 0.5778 0.4222 0.7500
K4 0.9285 0.0715 0.2500
Rb1 0.1433 0.5113 0.8979
Rb2 0.1746 0.1936 0.0954
Rb3 0.1908 0.5598 0.4828
Rb4 0.1936 0.1746 0.5954
Rb5 0.4402 0.8092 0.0172
Rb6 0.4887 0.8567 0.6021
Rb7 0.5113 0.1433 0.3979
Rb8 0.5598 0.1908 0.9828
Rb9 0.8064 0.8254 0.4046
Rb10 0.8092 0.4402 0.5172
Rb11 0.8254 0.8064 0.9046
Rb12 0.8567 0.4887 0.1021
Pb1 0.0760 0.7420 0.2143
Pb2 0.2580 0.9240 0.2857
Pb3 0.7420 0.0760 0.7143
Pb4 0.9240 0.2580 0.7857

***

[2]
Entry from Alexandria: KRb3Pb8 after structural relaxation (PBE).

Values from the calculation:
DOS(E_F)	12.8	states/eV/cell
symmetry	No. 160
formation enthalpy at 0 K	-12.6	kJ/mol of atoms

a = 11.5919 Å, b = 11.5919 Å, c = 11.5919 Å
α = 34.65°, β = 34.65°, γ = 34.65°
Sites, in units of the cell vectors:
K1 0.0000 0.0000 0.0000
Rb1 0.1244 0.1244 0.1244
Rb2 0.5000 0.5000 0.5000
Rb3 0.6244 0.6244 0.6244
Pb1 0.0612 0.5618 0.5618
Pb2 0.0617 0.0617 0.5652
Pb3 0.0617 0.5652 0.0617
Pb4 0.3122 0.3122 0.3122
Pb5 0.5618 0.0612 0.5618
Pb6 0.5618 0.5618 0.0612
Pb7 0.5652 0.0617 0.0617
Pb8 0.8121 0.8121 0.8121

***

[3]
Entry from Alexandria: KRb2Pb after structural relaxation (PBE).

Values from the calculation:
E above lowest polymorph	47	kJ/mol of formula units
DOS(E_F)	3.5	states/eV/cell
symmetry	No. 123
formation enthalpy at 0 K	4.3	kJ/mol of atoms

a = 5.8757 Å, b = 5.8757 Å, c = 6.0390 Å
α = 90.00°, β = 90.00°, γ = 90.00°
Sites, in units of the cell vectors:
K1 0.0000 0.0000 0.0000
Rb1 0.0000 0.5000 0.5000
Rb2 0.5000 0.0000 0.5000
Pb1 0.5000 0.5000 0.0000

***

[4]
Entry from Alexandria: K3Rb2Pb after structural relaxation (PBE).

Values from the calculation:
DOS(E_F)	11.7	states/eV/cell
symmetry	No. 15
formation enthalpy at 0 K	0.1	kJ/mol of atoms

a = 10.7552 Å, b = 10.7552 Å, c = 8.7184 Å
α = 102.81°, β = 102.81°, γ = 48.30°
Sites, in units of the cell vectors:
K1 0.1699 0.8301 0.7500
K2 0.3895 0.3928 0.4417
K3 0.3928 0.3895 0.9417
K4 0.6072 0.6105 0.0583
K5 0.6105 0.6072 0.5583
K6 0.8301 0.1699 0.2500
Rb1 0.1650 0.1659 0.5890
Rb2 0.1659 0.1650 0.0890
Rb3 0.8341 0.8350 0.9110
Rb4 0.8350 0.8341 0.4110
Pb1 0.2399 0.7601 0.2500
Pb2 0.7601 0.2399 0.7500

***

[5]
Entry from Alexandria: K3RbPb8 after structural relaxation (PBE).

Values from the calculation:
DOS(E_F)	11.5	states/eV/cell
symmetry	No. 156
formation enthalpy at 0 K	-15.9	kJ/mol of atoms

a = 6.8317 Å, b = 6.8317 Å, c = 10.7991 Å
α = 90.00°, β = 90.00°, γ = 120.00°
Sites, in units of the cell vectors:
K1 0.0000 0.0000 0.0000
K2 0.0000 0.0000 0.3688
K3 0.3333 0.6667 0.8708
Rb1 0.3333 0.6667 0.4994
Pb1 0.0004 0.5002 0.1834
Pb2 0.3308 0.1654 0.6867
Pb3 0.4998 0.9996 0.1834
Pb4 0.4998 0.5002 0.1834
Pb5 0.6667 0.3333 0.4350
Pb6 0.6667 0.3333 0.9360
Pb7 0.8346 0.1654 0.6867
Pb8 0.8346 0.6692 0.6867

***

[6]
Entry from Alexandria: K14RbPb after structural relaxation (PBE).

Values from the calculation:
DOS(E_F)	14.5	states/eV/cell
symmetry	No. 123
formation enthalpy at 0 K	0.4	kJ/mol of atoms

a = 10.2539 Å, b = 10.2539 Å, c = 10.1500 Å
α = 90.00°, β = 90.00°, γ = 90.00°
Sites, in units of the cell vectors:
K1 0.0000 0.0000 0.0000
K2 0.0000 0.5000 0.0000
K3 0.0000 0.5000 0.5000
K4 0.2185 0.2185 0.2779
K5 0.2185 0.2185 0.7221
K6 0.2185 0.7815 0.2779
K7 0.2185 0.7815 0.7221
K8 0.5000 0.0000 0.0000
K9 0.5000 0.0000 0.5000
K10 0.5000 0.5000 0.0000
K11 0.7815 0.2185 0.2779
K12 0.7815 0.2185 0.7221
K13 0.7815 0.7815 0.2779
K14 0.7815 0.7815 0.7221
Rb1 0.5000 0.5000 0.5000
Pb1 0.0000 0.0000 0.5000

***

[7]
Entry from Alexandria: KRbPb after structural relaxation (PBE).

Values from the calculation:
E above lowest polymorph	30	kJ/mol of formula units
DOS(E_F)	6.9	states/eV/cell
symmetry	No. 107
formation enthalpy at 0 K	-0.1	kJ/mol of atoms

a = 4.5074 Å, b = 4.5074 Å, c = 14.1873 Å
α = 90.00°, β = 90.00°, γ = 90.00°
Sites, in units of the cell vectors:
K1 0.0000 0.0000 0.0000
K2 0.5000 0.5000 0.5000
Rb1 0.0000 0.0000 0.2886
Rb2 0.5000 0.5000 0.7886
Pb1 0.0000 0.0000 0.6328
Pb2 0.5000 0.5000 0.1328

***

[8]
Entry from Alexandria: K2RbPb2 after structural relaxation (PBE).

Values from the calculation:
E above lowest polymorph	0	kJ/mol of formula units
DOS(E_F)	6.9	states/eV/cell
symmetry	No. 12
formation enthalpy at 0 K	-11.0	kJ/mol of atoms

a = 14.0467 Å, b = 4.9937 Å, c = 7.2999 Å
α = 90.00°, β = 100.08°, γ = 90.00°
Sites, in units of the cell vectors:
K1 0.1500 0.0000 0.0813
K2 0.3500 0.5000 0.9187
K3 0.6500 0.5000 0.0813
K4 0.8500 0.0000 0.9187
Rb1 0.0000 0.5000 0.5000
Rb2 0.5000 0.0000 0.5000
Pb1 0.2185 0.0000 0.6016
Pb2 0.2815 0.5000 0.3984
Pb3 0.7185 0.5000 0.6016
Pb4 0.7815 0.0000 0.3984

***

[9]
Entry from Alexandria: K8Rb2Pb after structural relaxation (PBE).

Values from the calculation:
DOS(E_F)	8.2	states/eV/cell
symmetry	No. 12
formation enthalpy at 0 K	-1.1	kJ/mol of atoms

a = 12.2823 Å, b = 12.2823 Å, c = 9.0992 Å
α = 96.32°, β = 96.32°, γ = 32.57°
Sites, in units of the cell vectors:
K1 0.0174 0.0174 0.2866
K2 0.2130 0.2130 0.1275
K3 0.3672 0.3672 0.6522
K4 0.4189 0.4189 0.1341
K5 0.5811 0.5811 0.8659
K6 0.6328 0.6328 0.3478
K7 0.7870 0.7870 0.8725
K8 0.9826 0.9826 0.7134
Rb1 0.1685 0.1685 0.6346
Rb2 0.8315 0.8315 0.3654
Pb1 0.5000 0.5000 0.5000

***

[10]
Entry from Alexandria: KRbPb after structural relaxation (PBE).

Values from the calculation:
E above lowest polymorph	14	kJ/mol of formula units
DOS(E_F)	3.8	states/eV/cell
symmetry	No. 2
formation enthalpy at 0 K	-5.6	kJ/mol of atoms

a = 5.1079 Å, b = 7.1962 Å, c = 10.5695 Å
α = 70.25°, β = 76.04°, γ = 89.98°
Sites, in units of the cell vectors:
K1 0.0787 0.3284 0.3433
K2 0.9213 0.6716 0.6567
Rb1 0.3519 0.1025 0.7958
Rb2 0.6481 0.8975 0.2042
Pb1 0.2940 0.5446 0.9121
Pb2 0.7060 0.4554 0.0879

***

[11]
Entry from Alexandria: K6Rb8Pb after structural relaxation (PBE).

Values from the calculation:
DOS(E_F)	11.8	states/eV/cell
symmetry	No. 148
formation enthalpy at 0 K	3.6	kJ/mol of atoms

a = 12.1913 Å, b = 12.1913 Å, c = 12.1913 Å
α = 59.44°, β = 59.44°, γ = 59.44°
Sites, in units of the cell vectors:
K1 0.0771 0.2929 0.8068
K2 0.1932 0.9229 0.7071
K3 0.2929 0.8068 0.0771
K4 0.7071 0.1932 0.9229
K5 0.8068 0.0771 0.2929
K6 0.9229 0.7071 0.1932
Rb1 0.0658 0.7330 0.5561
Rb2 0.2670 0.4439 0.9342
Rb3 0.3476 0.3476 0.3476
Rb4 0.4439 0.9342 0.2670
Rb5 0.5561 0.0658 0.7330
Rb6 0.6524 0.6524 0.6524
Rb7 0.7330 0.5561 0.0658
Rb8 0.9342 0.2670 0.4439
Pb1 0.0000 0.0000 0.0000

***

[12]
Entry from Alexandria: K12Rb16Pb after structural relaxation (PBE).

Values from the calculation:
DOS(E_F)	21.1	states/eV/cell
symmetry	No. 8
formation enthalpy at 0 K	0.9	kJ/mol of atoms

a = 14.2296 Å, b = 14.2296 Å, c = 14.4573 Å
α = 109.32°, β = 109.32°, γ = 107.53°
Sites, in units of the cell vectors:
K1 0.0000 0.0000 0.0000
K2 0.1220 0.5562 0.9879
K3 0.1739 0.9942 0.7745
K4 0.1827 0.1827 0.3865
K5 0.3509 0.7280 0.3445
K6 0.3595 0.5480 0.5287
K7 0.4971 0.6916 0.1237
K8 0.5480 0.3595 0.5287
K9 0.5562 0.1220 0.9879
K10 0.6916 0.4971 0.1237
K11 0.7280 0.3509 0.3445
K12 0.9942 0.1739 0.7745
Rb1 0.0127 0.8113 0.2404
Rb2 0.0331 0.3463 0.5785
Rb3 0.0720 0.6617 0.4740
Rb4 0.3328 0.7436 0.8333
Rb5 0.3381 0.9853 0.1626
Rb6 0.3402 0.3402 0.7876
Rb7 0.3463 0.0331 0.5785
Rb8 0.3532 0.3532 0.1638
Rb9 0.6472 0.9220 0.7384
Rb10 0.6617 0.0720 0.4740
Rb11 0.6678 0.6678 0.8873
Rb12 0.7436 0.3328 0.8333
Rb13 0.8020 0.8020 0.4735
Rb14 0.8113 0.0127 0.2404
Rb15 0.9220 0.6472 0.7384
Rb16 0.9853 0.3381 0.1626
Pb1 0.0601 0.0601 0.5355